No. 1
Crystalline SrGaBi3 at its relaxed geometry, computed with PBE.

For the density of states at the Fermi level, the calculation gives 4.72 states/eV per cell. The value obtained for the total moment is 0.000 μB per cell. For the formation energy, the calculation gives -0.010 eV/atom. Its relative energy among the computed polymorphs is 267 meV/atom.

The structure belongs to space group Pm-3m (No. 221); the cell edges are 5.596, 5.596 and 5.596 Å and the angles 90.00°, 90.00° and 90.00°. The asymmetric unit holds Sr at (0.000, 0.000, 0.000), Ga at (0.500, 0.500, 0.500) and Bi at (0.000, 0.500, 0.500).

No. 2
Crystalline ZrAg2Os at its relaxed geometry, computed with PBE.

For the density of states at the Fermi level, the calculation gives 1.27 states/eV per cell. The value obtained for the total moment is 0.000 μB per cell. For the formation energy, the calculation gives 0.073 eV/atom. Its relative energy among the computed polymorphs is 0 meV/atom.

The structure belongs to space group P4mm (No. 99); the cell edges are 3.429, 3.429 and 6.149 Å and the angles 90.00°, 90.00° and 90.00°. The asymmetric unit holds Zr at (0.000, 0.000, 0.000), Ag at (0.000, 0.000, 0.520), Ag at (0.500, 0.500, 0.292) and Os at (0.500, 0.500, 0.792).